Run P
Entry from the Alexandria database: a relaxed CuTeCl2 crystal (GGA-PBEsol).

Unit cell a=6.052 b=6.485 c=4.194 alpha=90.00 beta=90.00 gamma=90.00
Space group Cmmm (No. 65)
Inequivalent atoms, fractional coordinates:
Cu 0.000 0.000 0.000 (multiplicity 2)
Te 0.000 0.500 0.000 (multiplicity 2)
Cl 0.000 0.230 0.500 (multiplicity 4)

Summary:
Size of the total moment (μB per atom): 0.00

Run Q
Entry from the Alexandria database: a relaxed CuTeCl2 crystal (GGA-PBEsol).

Unit cell a=3.152 b=6.820 c=8.390 alpha=90.00 beta=90.00 gamma=90.00
Space group Immm (No. 71)
Inequivalent atoms, fractional coordinates:
Cu 0.000 0.000 0.000 (multiplicity 2)
Te 0.000 0.000 0.500 (multiplicity 2)
Cl 0.000 0.500 0.304 (multiplicity 4)

Summary:
Size of the total moment (μB per atom): 0.00

Run R
Entry from the Alexandria database: a relaxed CuTeCl2 crystal (GGA-PBEsol).

Unit cell a=3.5655 b=3.5655 c=23.6697 alpha=90.00 beta=90.00 gamma=120.00
Space group R3m (No. 160, hexagonal axes)
Inequivalent atoms, fractional coordinates:
Cu 0.0000 0.0000 0.0000 (multiplicity 3)
Te 0.0000 0.0000 0.2610 (multiplicity 3)
Cl 0.0000 0.0000 0.5082 (multiplicity 3)
Cl 0.0000 0.0000 0.7176 (multiplicity 3)

Summary:
Size of the total moment (μB per atom): 0.00

Structures ranked by computed energy, the most stable listed first: run R, run Q, run P.